A plane-wave DFT calculation with GGA-PBE was carried out for a relaxed structure of BaHgTe3.

The electronic total energy is -3.03 eV/atom. The total magnetization comes out at 0.000 μB/f.u. The energy relative to the elements, uncorrected comes out at -0.70 eV/atom. The calculation puts the energy relative to the lowest polymorph listed for this composition at 0.0 kJ per mole of atoms.

It has space group P1 (No. 1), with a = 6.943 Å, b = 7.371 Å, c = 8.903 Å, α = 91.92°, β = 108.52° and γ = 110.21°. The inequivalent atoms are Ba at (0.000, 0.000, 0.000), Ba at (0.194, 0.630, 0.633), Hg at (0.513, 0.259, 0.388), Hg at (0.604, 0.302, 0.855), Te at (0.081, 0.977, 0.406), Te at (0.097, 0.604, 0.213), Te at (0.405, 0.483, 0.140), Te at (0.489, 0.979, 0.990), Te at (0.694, 0.595, 0.684) and Te at (0.858, 0.136, 0.568).



A plane-wave DFT calculation with GGA-PBE was carried out for a relaxed structure of YSe2Cl.

The electronic total energy is -4.92 eV/atom. The total magnetization comes out at 0.000 μB/f.u. The energy relative to the elements, uncorrected comes out at -1.10 eV/atom. The density of states at the Fermi level is 0.28 states/eV per atom. The calculation puts the energy relative to the lowest polymorph listed for this composition at 28.9 kJ per mole of atoms.

It has space group Cmmm (No. 65), with a = 5.270 Å, b = 7.877 Å, c = 4.597 Å, α = 90.00°, β = 90.00° and γ = 90.00°. The inequivalent atoms are Y at (0.000, 0.000, 0.000), Se at (0.250, 0.250, 0.500) and Cl at (0.000, 0.500, 0.000).